Entry 1:
Here is crystalline AlRuSe2N at its relaxed geometry from the Alexandria database. Energies are from PBE. Values from VASP.

Summary:
As for the total magnetization: 2.27 μB/cell. As for the formation energy from raw total energies: 687 meV per atom. Its energy is -4.9757 eV per atom.

Geometry as Quantum ESPRESSO input:
```
&SYSTEM
  ibrav = 0, nat = 5, ntyp = 4
/
ATOMIC_SPECIES
Ru 101.07 Ru.upf
Al 26.98 Al.upf
Se 78.96 Se.upf
N 14.01 N.upf
CELL_PARAMETERS angstrom
4.941 0.000 0.000
0.000 4.941 0.000
0.000 0.000 3.505
ATOMIC_POSITIONS crystal
Ru 0.500 0.500 0.500
Al 0.000 0.000 0.000
Se 0.000 0.500 0.000
Se 0.500 0.000 0.000
N 0.000 0.000 0.500
```

***

Entry 2:
Here is crystalline ZrCd2CoC at its relaxed geometry from the Alexandria database. Energies are from PBE. Values from VASP.

Summary:
As for the total magnetization: 0.00 μB/cell. Its energy is -4.7444 eV per atom.

Geometry as Quantum ESPRESSO input:
```
&SYSTEM
  ibrav = 0, nat = 5, ntyp = 4
/
ATOMIC_SPECIES
C 12.01 C.upf
Co 58.93 Co.upf
Zr 91.22 Zr.upf
Cd 112.41 Cd.upf
CELL_PARAMETERS angstrom
-2.987 -0.729 3.716
2.599 -1.939 1.709
1.626 4.027 2.097
ATOMIC_POSITIONS crystal
C 0.000 0.000 0.000
Co 0.000 0.500 0.000
Zr 0.500 0.500 0.500
Cd 0.000 0.000 0.500
Cd 0.500 0.000 0.000
```

***

> Number 2 is which compound?

ZrCd2CoC